No. 1
Rb2FeSnPd | PBE | relaxed

Output
* calculated volume: 49.8 Å³/atom
* total magnetic moment: 3.5 μB per formula unit
* density: 3.02 g cm⁻³
* formation enthalpy at 0 K: 840 meV per atom
* total DFT energy (no corrections): -15.4 eV/cell

The structure in extended XYZ format:
```
5
Lattice="7.077 0.000 0.000 0.000 7.077 0.000 0.000 0.000 4.967" Properties=species:S:1:pos:R:3 pbc="T T T"
Rb 0.000 3.539 0.000
Rb 3.539 0.000 0.000
Fe 0.000 0.000 2.483
Sn 3.539 3.539 0.000
Pd 3.539 3.539 2.483
```

=====

No. 2
Sm3ThN | PBE | relaxed

Output
* calculated volume: 26.3 Å³/atom
* total magnetic moment: 0.0 μB per formula unit
* formation energy without anion corrections: -1.913 eV per formula unit
* density: 8.82 g cm⁻³
* total DFT energy (no corrections): -31.8 eV/cell

The structure in extended XYZ format:
```
5
Lattice="5.083 0.000 0.000 0.000 5.083 0.000 0.000 0.000 5.083" Properties=species:S:1:pos:R:3 pbc="T T T"
Sm 0.000 0.000 2.541
Sm 0.000 2.541 0.000
Sm 2.541 0.000 0.000
Th 2.541 2.541 2.541
N 0.000 0.000 0.000
```

=====

No. 3
Ce2PmGa | PBE | relaxed

Output
* calculated volume: 26.6 Å³/atom
* total magnetic moment: 0.7 μB per formula unit
* density: 7.73 g cm⁻³
* relative energy among the computed polymorphs: 269 meV/atom
* formation enthalpy at 0 K: -18 meV per atom
* total DFT energy (no corrections): -19.7 eV/cell

The structure in extended XYZ format:
```
4
Lattice="0.000 3.759 3.759 3.759 0.000 3.759 3.759 3.759 0.000" Properties=species:S:1:pos:R:3 pbc="T T T"
Ce 1.880 1.880 1.880
Ce 5.639 5.639 5.639
Pm 0.000 0.000 0.000
Ga 3.759 3.759 3.759
```